Density functional theory data (PBE) for crystalline CsGaGe2 at its relaxed geometry.

The structure in CIF format:
```
data_CsGaGe2
_chemical_formula_sum 'Cs1 Ga1 Ge2'
_symmetry_space_group_name_H-M 'P 4/m m m'
_symmetry_Int_Tables_number 123
_symmetry_space_group_name_Hall '-P 4 2'
_cell_length_a 3.664
_cell_length_b 3.664
_cell_length_c 7.978
_cell_angle_alpha 90.00
_cell_angle_beta 90.00
_cell_angle_gamma 90.00
loop_
_atom_site_label
_atom_site_fract_x
_atom_site_fract_y
_atom_site_fract_z
Cs1 0.000 0.000 0.000
Ga1 0.000 0.000 0.500
Ge1 0.500 0.500 0.341
```

Spin magnetization in μB per formula unit: 0.00
Electronic total energy in eV per atom: -3.26
Formation energy in eV/atom: 0.02